(1)
## GaBPt4 (GGA-PBE)

Data for a relaxed structure of GaBPt4.

Geometry as CIF:
```
data_GaBPt4
_chemical_formula_sum 'Ga4 B4 Pt16'
_cell_length_a 6.562
_cell_length_b 9.562
_cell_length_c 6.538
_cell_angle_alpha 90.00
_cell_angle_beta 114.62
_cell_angle_gamma 90.00
_symmetry_space_group_name_H-M 'C 1 2/c 1'
_symmetry_Int_Tables_number 15
_symmetry_space_group_name_Hall '-C 2yc'
loop_
_atom_site_label
_atom_site_type_symbol
_atom_site_fract_x
_atom_site_fract_y
_atom_site_fract_z
Ga1 Ga 0.000 0.160 0.250
B1 B 0.000 0.467 0.250
Pt1 Pt 0.069 0.361 0.572
Pt2 Pt 0.159 0.087 0.666
```

Output
**N(E_F)**: 8.19 states/eV/cell
**Crystal system**: monoclinic
**Total energy**: -5.929 eV per atom
**ΔE_f**: -0.284 eV/atom

---

(2)
## Ce2Pa3Si4 (GGA-PBE)

Data for a relaxed structure of Ce2Pa3Si4.

Geometry as CIF:
```
data_Ce2Pa3Si4
_chemical_formula_sum 'Ce4 Pa6 Si8'
_cell_length_a 7.631
_cell_length_b 7.630
_cell_length_c 7.440
_cell_angle_alpha 90.00
_cell_angle_beta 107.84
_cell_angle_gamma 90.00
_symmetry_space_group_name_H-M 'P 1 21/c 1'
_symmetry_Int_Tables_number 14
_symmetry_space_group_name_Hall '-P 2ybc'
loop_
_atom_site_label
_atom_site_type_symbol
_atom_site_fract_x
_atom_site_fract_y
_atom_site_fract_z
Ce1 Ce 0.203 0.176 0.082
Pa1 Pa 0.250 0.686 0.248
Pa2 Pa 0.500 0.000 0.500
Si1 Si 0.082 0.524 0.875
Si2 Si 0.487 0.118 0.877
```

Output
**N(E_F)**: 35.70 states/eV/cell
**E_form (uncorrected)**: -0.53 eV/atom
**Crystal system**: monoclinic
**Total energy**: -7.420 eV per atom